DFT (PBE) results for a geometry-optimized Ta3Cd2Cl9 structure.

Calculated values
For the formation energy (no corrections), the calculation gives -98 kJ per mole of atoms.

Cell and atoms, written as extended XYZ:
```
28
Lattice="9.390 0.356 -1.905 -3.016 7.799 -4.597 0.153 -0.131 9.540" Properties=species:S:1:pos:R:3 pbc="T T T"
Cd 5.618 6.378 -0.812
Cl 1.590 0.727 7.691
Ta 0.668 7.463 2.347
Cl 7.447 1.017 6.541
Cl 6.792 2.739 0.014
Cl 3.535 3.418 -0.898
Cl -0.875 6.932 0.214
Ta 3.418 6.887 3.097
Ta 5.859 0.561 0.690
Cl 4.937 7.297 -4.654
Cl 1.052 2.401 1.111
Cl -0.919 7.006 -3.504
Cl 2.329 6.268 0.971
Cd 0.909 1.645 3.850
Cd 6.647 3.805 3.775
Cl 0.396 3.750 5.886
Cd -0.119 4.219 -0.738
Ta 3.110 1.137 -0.059
Cl 2.340 6.325 -2.604
Cl 5.475 5.623 1.927
Cl 4.188 1.699 5.642
Ta 5.305 1.949 -1.784
Cl 4.199 1.755 2.066
Cl 7.403 1.091 2.824
Ta 1.223 6.074 4.822
Cl 6.132 4.273 -2.848
Cl 2.993 4.606 3.935
Cl -0.264 5.284 3.023
```

***

DFT (PBE) results for a geometry-optimized LaCdCu2 structure.

Calculated values
The calculated formation energy comes out at -0.20 eV per atom.

Cell and atoms, written as extended XYZ:
```
8
Lattice="4.149 0.000 0.000 0.000 4.140 -0.274 0.000 0.638 9.941" Properties=species:S:1:pos:R:3 pbc="T T T"
Cu 3.112 3.519 6.196
Cu 1.037 3.425 4.765
Cd 1.037 1.075 0.686
Cd 3.112 3.703 8.981
Cu 3.112 1.353 4.902
Cu 1.037 1.258 3.470
La 3.112 3.271 2.476
La 1.037 1.507 7.190
```

***

DFT (PBE) results for a geometry-optimized Tm3Zn2Cd2Au4 structure.

Calculated values
The calculated formation energy comes out at -0.57 eV per atom.

Cell and atoms, written as extended XYZ:
```
11
Lattice="4.568 0.000 0.000 -2.284 3.956 0.000 0.000 0.000 13.338" Properties=species:S:1:pos:R:3 pbc="T T T"
Tm 0.000 0.000 3.404
Au 0.000 2.637 4.655
Zn 0.000 2.637 1.768
Tm 0.000 0.000 0.000
Au 2.284 1.319 8.683
Tm 0.000 0.000 9.933
Cd 0.000 2.637 7.556
Zn 2.284 1.319 11.570
Cd 2.284 1.319 5.782
Au 2.284 1.319 1.617
Au 0.000 2.637 11.721
```

***

DFT (PBE) results for a geometry-optimized CsTiVTe3 structure.

Calculated values
For the formation energy (no corrections), the calculation gives -62 kJ per mole of atoms.

Cell and atoms, written as extended XYZ:
```
12
Lattice="3.902 0.000 0.000 0.000 10.294 -0.371 0.000 -5.259 9.610" Properties=species:S:1:pos:R:3 pbc="T T T"
Te 0.976 1.010 8.003
Ti 2.927 -0.986 8.112
Cs 0.976 0.953 2.327
V 0.976 -2.330 5.629
Te 2.927 4.025 1.236
Te 2.927 -0.525 5.226
Te 0.976 -3.067 8.142
Te 0.976 5.560 4.013
Te 2.927 8.102 1.097
Ti 0.976 6.021 1.127
Cs 2.927 4.081 6.912
V 2.927 7.365 3.610
```